1.
20
Lattice="5.560 0.000 0.000 0.000 8.707 0.000 0.000 0.000 8.535" Properties=species:S:1:pos:R:3 comment="Pu2SiSbPd6 | the Alexandria database | PBE | relaxed" sg="No. 59" raw_formation_energy_mev_per_atom=-512.3 dft_energy_ev_per_atom=-7.449 pbc="T T T"
Pu 1.390 0.031 2.048
Pu 1.390 4.323 2.048
Pu 4.170 4.384 6.487
Pu 4.170 8.676 6.487
Si 1.390 6.530 6.289
Si 4.170 2.177 2.246
Sb 1.390 2.177 6.654
Sb 4.170 6.530 1.881
Pd 0.009 2.177 4.244
Pd 0.024 6.530 8.220
Pd 1.390 4.371 5.188
Pd 1.390 8.690 5.188
Pd 2.756 6.530 8.220
Pd 2.771 2.177 4.244
Pd 2.789 6.530 4.292
Pd 2.804 2.177 0.316
Pd 4.170 0.017 3.347
Pd 4.170 4.336 3.347
Pd 5.536 2.177 0.316
Pd 5.551 6.530 4.292



2.
4
Lattice="0.000 3.700 3.700 3.700 0.000 3.700 3.700 3.700 0.000" Properties=species:S:1:pos:R:3 comment="SmPuSbPd | the Alexandria database | PBE | relaxed" sg="No. 216" raw_formation_energy_mev_per_atom=-617.4 dft_energy_ev_per_atom=-7.709 pbc="T T T"
Sm 0.000 0.000 0.000
Pu 3.700 3.700 3.700
Sb 1.850 1.850 1.850
Pd 5.549 5.549 5.549



3.
7
Lattice="2.338 1.350 8.766 -2.338 1.350 8.766 0.000 -2.700 8.766" Properties=species:S:1:pos:R:3 comment="SmPu2Sb2Pd2 | the Alexandria database | PBE | relaxed" sg="No. 166" raw_formation_energy_mev_per_atom=-706.0 dft_energy_ev_per_atom=-8.136 pbc="T T T"
Sm 0.000 0.000 0.000
Pu 0.000 0.000 3.759
Pu 0.000 0.000 22.539
Sb 0.000 0.000 6.982
Sb 0.000 0.000 19.317
Pd 0.000 0.000 11.481
Pd 0.000 0.000 14.818



4.
12
Lattice="2.897 -2.881 0.000 2.897 2.881 0.000 -0.600 0.000 15.012" Properties=species:S:1:pos:R:3 comment="PuSn2Sb2Pd7 | the Alexandria database | PBE | relaxed" sg="No. 12" raw_formation_energy_mev_per_atom=-413.3 dft_energy_ev_per_atom=-5.991 pbc="T T T"
Pu 0.000 0.000 0.000
Sn 0.674 0.000 6.128
Sn 4.520 0.000 8.884
Sb 1.693 0.000 12.469
Sb 3.501 0.000 2.544
Pd 2.092 1.453 4.242
Pd 1.616 0.000 8.628
Pd 3.101 1.453 10.770
Pd 2.897 0.000 0.000
Pd 2.092 -1.453 4.242
Pd 3.578 0.000 6.384
Pd 3.101 -1.453 10.770



5.
7
Lattice="2.358 1.361 9.196 -2.358 1.361 9.196 0.000 -2.723 9.196" Properties=species:S:1:pos:R:3 comment="SrPu2Sb2Pd2 | the Alexandria database | PBE | relaxed" sg="No. 166" raw_formation_energy_mev_per_atom=-711.1 dft_energy_ev_per_atom=-7.708 pbc="T T T"
Sr 0.000 0.000 0.000
Pu 0.000 0.000 3.970
Pu 0.000 0.000 23.618
Sb 0.000 0.000 7.136
Sb 0.000 0.000 20.452
Pd 0.000 0.000 12.169
Pd 0.000 0.000 15.419



6.
10
Lattice="4.600 0.000 0.000 0.000 4.600 0.000 0.000 0.000 11.591" Properties=species:S:1:pos:R:3 comment="Sr2PuSb3Pd4 | the Alexandria database | PBE | relaxed" sg="No. 115" raw_formation_energy_mev_per_atom=-749.2 dft_energy_ev_per_atom=-5.833 pbc="T T T"
Sr 0.000 2.300 2.611
Sr 2.300 0.000 8.980
Pu 0.000 0.000 5.796
Sb 0.000 2.300 10.150
Sb 2.300 0.000 1.441
Sb 2.300 2.300 5.796
Pd 0.000 0.000 0.000
Pd 0.000 2.300 7.510
Pd 2.300 0.000 4.081
Pd 2.300 2.300 0.000